No. 1
A relaxed structure of AsNCl. Source: Alexandria via LeMat-Bulk, functional GGA-PBE.

space-group type: No. 1
E above lowest polymorph: 0.37 eV per formula unit
formation energy (no corrections): 1.05 eV per formula unit
total magnetization: 0.00 μB per atom

a = 3.062 Å, b = 3.563 Å, c = 6.582 Å
α = 96.82°, β = 100.10°, γ = 112.01°
Positions (direct):
As 0.000 0.000 0.000
N 0.600 0.286 0.931
Cl 0.177 0.111 0.346

No. 2
A relaxed structure of Tm4ZnPb2. Source: Alexandria via LeMat-Bulk, functional GGA-PBE.

space-group type: No. 11
DFT formation energy: -0.263 eV/atom
total magnetization: 0.00 μB per atom

a = 5.935 Å, b = 6.518 Å, c = 10.149 Å
α = 90.00°, β = 104.41°, γ = 90.00°
Positions (direct):
Tm 0.189 0.250 0.135
Tm 0.261 0.003 0.732
Tm 0.261 0.497 0.732
Tm 0.303 0.750 0.430
Tm 0.697 0.250 0.570
Tm 0.739 0.503 0.268
Tm 0.739 0.997 0.268
Tm 0.811 0.750 0.865
Zn 0.056 0.750 0.156
Zn 0.944 0.250 0.844
Pb 0.168 0.250 0.446
Pb 0.386 0.750 0.014
Pb 0.614 0.250 0.986
Pb 0.832 0.750 0.554

No. 3
A relaxed structure of LaSbAu2. Source: Alexandria via LeMat-Bulk, functional GGA-PBE.

space-group type: No. 216
formation energy (no corrections): -2.24 eV per formula unit
total magnetization: 0.00 μB per atom

a = 5.165 Å, b = 5.165 Å, c = 5.165 Å
α = 60.00°, β = 60.00°, γ = 60.00°
Positions (direct):
La 0.000 0.000 0.000
Sb 0.250 0.250 0.250
Au 0.500 0.500 0.500
Au 0.750 0.750 0.750

No. 4
A relaxed structure of KIn4Pt. Source: Alexandria via LeMat-Bulk, functional GGA-PBE.

space-group type: No. 51
E above lowest polymorph: 0.00 eV per formula unit
DFT formation energy: -0.281 eV/atom
total magnetization: 0.00 μB per atom

a = 8.742 Å, b = 4.391 Å, c = 8.149 Å
α = 90.00°, β = 90.00°, γ = 90.00°
Positions (direct):
K 0.250 0.000 0.103
K 0.750 0.000 0.897
In 0.000 0.000 0.500
In 0.067 0.500 0.807
In 0.250 0.500 0.437
In 0.433 0.500 0.807
In 0.500 0.000 0.500
In 0.567 0.500 0.193
In 0.750 0.500 0.563
In 0.933 0.500 0.193
Pt 0.250 0.000 0.689
Pt 0.750 0.000 0.311

No. 5
A relaxed structure of KLaIn3. Source: Alexandria via LeMat-Bulk, functional GGA-PBE.

space-group type: No. 221
E above lowest polymorph: 0.00 eV per formula unit
DFT formation energy: 0.318 eV/atom
total magnetization: 0.00 μB per atom

a = 6.180 Å, b = 6.180 Å, c = 6.180 Å
α = 90.00°, β = 90.00°, γ = 90.00°
Positions (direct):
K 0.000 0.000 0.000
La 0.500 0.500 0.500
In 0.000 0.500 0.500
In 0.500 0.000 0.500
In 0.500 0.500 0.000

No. 6
A relaxed structure of LaPm6NdDy2. Source: Alexandria via LeMat-Bulk, functional GGA-PBE.

space-group type: No. 15
DFT formation energy: 0.115 eV/atom
total magnetization: 0.00 μB per atom

a = 8.966 Å, b = 8.966 Å, c = 9.787 Å
α = 93.92°, β = 93.92°, γ = 117.32°
Positions (direct):
La 0.094 0.906 0.750
La 0.906 0.094 0.250
Pm 0.013 0.795 0.380
Pm 0.066 0.520 0.180
Pm 0.205 0.987 0.120
Pm 0.256 0.611 0.557
Pm 0.389 0.744 0.943
Pm 0.480 0.934 0.320
Pm 0.520 0.066 0.680
Pm 0.611 0.256 0.057
Pm 0.744 0.389 0.443
Pm 0.795 0.013 0.880
Pm 0.934 0.480 0.820
Pm 0.987 0.205 0.620
Nd 0.469 0.531 0.250
Nd 0.531 0.469 0.750
Dy 0.206 0.304 0.953
Dy 0.304 0.206 0.453
Dy 0.696 0.794 0.547
Dy 0.794 0.696 0.047

No. 7
A relaxed structure of PuPaGa. Source: Alexandria via LeMat-Bulk, functional GGA-PBE.

space-group type: No. 129
E above lowest polymorph: 0.68 eV per formula unit
DFT formation energy: 0.003 eV/atom
total magnetization: 0.00 μB per atom

a = 3.239 Å, b = 3.239 Å, c = 11.863 Å
α = 90.00°, β = 90.00°, γ = 90.00°
Positions (direct):
Pu 0.250 0.250 0.038
Pu 0.750 0.750 0.962
Pa 0.250 0.250 0.392
Pa 0.750 0.750 0.608
Ga 0.250 0.250 0.789
Ga 0.750 0.750 0.211

No. 8
A relaxed structure of La6Sm. Source: Alexandria via LeMat-Bulk, functional GGA-PBE.

space-group type: No. 148
E above lowest polymorph: 0.00 eV per formula unit
DFT formation energy: 0.105 eV/atom
total magnetization: 0.00 μB per atom

a = 9.082 Å, b = 9.082 Å, c = 9.082 Å
α = 118.22°, β = 118.22°, γ = 118.22°
Positions (direct):
La 0.003 0.427 0.267
La 0.267 0.003 0.427
La 0.427 0.267 0.003
La 0.573 0.733 0.997
La 0.733 0.997 0.573
La 0.997 0.573 0.733
Sm 0.500 0.500 0.500